The following is a DFT calculation (GGA-PBEsol) of a relaxed FeRh crystal.

It has space group Pm (No. 6), with a = 4.449 Å, b = 2.682 Å, c = 6.363 Å, α = 90.00°, β = 96.25° and γ = 90.00°. The inequivalent atoms are Fe at (0.000, 0.000, 0.000), Fe at (0.078, 0.500, 0.320), Fe at (0.497, 0.500, 0.987), Rh at (0.292, 0.000, 0.657), Rh at (0.579, 0.000, 0.314) and Rh at (0.797, 0.500, 0.671).

As for the calculated formation energy: 0.131 eV/f.u. The calculation puts the magnetic moment at 2.919 μB per formula unit. The value obtained for the density of states at the Fermi level is 1.295 states/eV per atom.

The following is a DFT calculation (GGA-PBEsol) of a relaxed FeRh crystal.

It has space group P4/nmm (No. 129, origin choice 2), with a = 2.647 Å, b = 2.647 Å, c = 7.040 Å, α = 90.00°, β = 90.00° and γ = 90.00°. The inequivalent atoms are Fe at (0.250, 0.250, 0.116) and Rh at (0.250, 0.250, 0.637).

As for the calculated formation energy: 0.129 eV/f.u. The calculation puts the magnetic moment at 2.399 μB per formula unit. The value obtained for the density of states at the Fermi level is 1.374 states/eV per atom.

The following is a DFT calculation (GGA-PBEsol) of a relaxed FeRh3 crystal.

It has space group R-3m (No. 166, hexagonal axes), with a = 2.6488 Å, b = 2.6488 Å, c = 25.5391 Å, α = 90.00°, β = 90.00° and γ = 120.00°. The inequivalent atoms are Fe at (0.0000, 0.0000, 0.0000), Rh at (0.0000, 0.0000, 0.2532) and Rh at (0.0000, 0.0000, 0.5000).

As for the calculated formation energy: 0.067 eV/f.u. The calculation puts the magnetic moment at 2.432 μB per formula unit. The value obtained for the density of states at the Fermi level is 1.369 states/eV per atom.

The following is a DFT calculation (GGA-PBEsol) of a relaxed Fe5Rh3 crystal.

It has space group Cmmm (No. 65), with a = 5.852 Å, b = 8.281 Å, c = 4.136 Å, α = 90.00°, β = 90.00° and γ = 90.00°. The inequivalent atoms are Fe at (0.000, 0.000, 0.000), Fe at (0.240, 0.000, 0.500), Fe at (0.250, 0.250, 0.000), Rh at (0.000, 0.253, 0.500) and Rh at (0.000, 0.500, 0.000).

As for the calculated formation energy: 0.300 eV/f.u. The calculation puts the magnetic moment at 17.687 μB per formula unit. The value obtained for the density of states at the Fermi level is 0.617 states/eV per atom.

The following is a DFT calculation (GGA-PBEsol) of a relaxed FeRh4 crystal.

It has space group I4/mmm (No. 139), with a = 2.657 Å, b = 2.657 Å, c = 18.393 Å, α = 90.00°, β = 90.00° and γ = 90.00°. The inequivalent atoms are Fe at (0.000, 0.000, 0.000), Rh at (0.000, 0.000, 0.199) and Rh at (0.000, 0.000, 0.405).

The value obtained for the offset from the most stable computed form is 0.000 eV per atom. As for the calculated formation energy: 0.023 eV/f.u. The calculation puts the magnetic moment at 2.437 μB per formula unit. The value obtained for the density of states at the Fermi level is 1.290 states/eV per atom.

The following is a DFT calculation (GGA-PBEsol) of a relaxed FeRh crystal.

It has space group Pmm2 (No. 25), with a = 2.630 Å, b = 3.575 Å, c = 7.862 Å, α = 90.00°, β = 90.00° and γ = 90.00°. The inequivalent atoms are Fe at (0.000, 0.000, 0.000), Fe at (0.000, 0.000, 0.334), Fe at (0.500, 0.500, 0.495), Rh at (0.000, 0.000, 0.652), Rh at (0.500, 0.500, 0.170) and Rh at (0.500, 0.500, 0.835).

As for the calculated formation energy: 0.117 eV/f.u. The calculation puts the magnetic moment at 2.365 μB per formula unit. The value obtained for the density of states at the Fermi level is 1.462 states/eV per atom.

The following is a DFT calculation (GGA-PBEsol) of a relaxed FeRh crystal.

It has space group Cm (No. 8), with a = 8.262 Å, b = 3.634 Å, c = 5.230 Å, α = 90.00°, β = 108.39° and γ = 90.00°. The inequivalent atoms are Fe at (0.000, 0.000, 0.000), Fe at (0.002, 0.000, 0.495), Fe at (0.333, 0.000, 0.166), Rh at (0.163, 0.500, 0.328), Rh at (0.169, 0.500, 0.837) and Rh at (0.340, 0.000, 0.668).

As for the calculated formation energy: 0.116 eV/f.u. The calculation puts the magnetic moment at 2.631 μB per formula unit. The value obtained for the density of states at the Fermi level is 1.452 states/eV per atom.

The following is a DFT calculation (GGA-PBEsol) of a relaxed FeRh2 crystal.

It has space group P-62m (No. 189), with a = 7.0630 Å, b = 7.0630 Å, c = 2.6513 Å, α = 90.00°, β = 90.00° and γ = 120.00°. The inequivalent atoms are Fe at (0.0000, 0.0000, 0.0000), Fe at (0.3333, 0.6667, 0.5000), Rh at (0.0000, 0.3631, 0.0000) and Rh at (0.0000, 0.7013, 0.5000).

As for the calculated formation energy: 0.067 eV/f.u. The calculation puts the magnetic moment at 2.548 μB per formula unit. The value obtained for the density of states at the Fermi level is 1.475 states/eV per atom.